DFT (PBE) results for an optimized crystal structure of SmCoAs.

Cell and atoms, written as CIF:
```
data_SmCoAs
_chemical_formula_sum 'Sm4 Co4 As4'
_cell_length_a 6.5538
_cell_length_b 6.5538
_cell_length_c 6.5538
_cell_angle_alpha 90.00
_cell_angle_beta 90.00
_cell_angle_gamma 90.00
_space_group_name_H-M_alt 'F -4 3 m'
_space_group_IT_number 216
_space_group_name_Hall 'F -4 2 3'
loop_
_atom_site_label
_atom_site_type_symbol
_atom_site_fract_x
_atom_site_fract_y
_atom_site_fract_z
Sm1 Sm 0.0000 0.0000 0.0000
Co1 Co 0.2500 0.2500 0.2500
As1 As 0.2500 0.2500 0.7500
```



DFT (PBE) results for an optimized crystal structure of SmCoAs.

Cell and atoms, written as CIF:
```
data_SmCoAs
_chemical_formula_sum 'Sm4 Co4 As4'
_cell_length_a 6.1699
_cell_length_b 6.1699
_cell_length_c 6.1699
_cell_angle_alpha 90.00
_cell_angle_beta 90.00
_cell_angle_gamma 90.00
_space_group_name_H-M_alt 'F -4 3 m'
_space_group_IT_number 216
_space_group_name_Hall 'F -4 2 3'
loop_
_atom_site_label
_atom_site_type_symbol
_atom_site_fract_x
_atom_site_fract_y
_atom_site_fract_z
Sm1 Sm 0.0000 0.0000 0.0000
Co1 Co 0.2500 0.2500 0.7500
As1 As 0.0000 0.0000 0.5000
```



DFT (PBE) results for an optimized crystal structure of CoSn2As.

Cell and atoms, written as CIF:
```
data_CoSn2As
_chemical_formula_sum 'Co4 Sn8 As4'
_cell_length_a 6.8305
_cell_length_b 6.8305
_cell_length_c 6.8305
_cell_angle_alpha 90.00
_cell_angle_beta 90.00
_cell_angle_gamma 90.00
_space_group_name_H-M_alt 'F -4 3 m'
_space_group_IT_number 216
_space_group_name_Hall 'F -4 2 3'
loop_
_atom_site_label
_atom_site_type_symbol
_atom_site_fract_x
_atom_site_fract_y
_atom_site_fract_z
Co1 Co 0.0000 0.0000 0.0000
Sn1 Sn 0.0000 0.0000 0.5000
Sn2 Sn 0.2500 0.2500 0.2500
As1 As 0.2500 0.2500 0.7500
```



DFT (PBE) results for an optimized crystal structure of CoSnAs.

Cell and atoms, written as CIF:
```
data_CoSnAs
_chemical_formula_sum 'Co4 Sn4 As4'
_cell_length_a 6.0010
_cell_length_b 6.0010
_cell_length_c 6.0010
_cell_angle_alpha 90.00
_cell_angle_beta 90.00
_cell_angle_gamma 90.00
_space_group_name_H-M_alt 'F -4 3 m'
_space_group_IT_number 216
_space_group_name_Hall 'F -4 2 3'
loop_
_atom_site_label
_atom_site_type_symbol
_atom_site_fract_x
_atom_site_fract_y
_atom_site_fract_z
Co1 Co 0.0000 0.0000 0.0000
Sn1 Sn 0.2500 0.2500 0.2500
As1 As 0.2500 0.2500 0.7500
```



DFT (PBE) results for an optimized crystal structure of SrCoAs.

Cell and atoms, written as CIF:
```
data_SrCoAs
_chemical_formula_sum 'Sr4 Co4 As4'
_cell_length_a 6.9884
_cell_length_b 6.9884
_cell_length_c 6.9884
_cell_angle_alpha 90.00
_cell_angle_beta 90.00
_cell_angle_gamma 90.00
_space_group_name_H-M_alt 'F -4 3 m'
_space_group_IT_number 216
_space_group_name_Hall 'F -4 2 3'
loop_
_atom_site_label
_atom_site_type_symbol
_atom_site_fract_x
_atom_site_fract_y
_atom_site_fract_z
Sr1 Sr 0.0000 0.0000 0.0000
Co1 Co 0.2500 0.2500 0.2500
As1 As 0.2500 0.2500 0.7500
```



DFT (PBE) results for an optimized crystal structure of SrCo2As2.

Cell and atoms, written as CIF:
```
data_SrCo2As2
_chemical_formula_sum 'Sr2 Co4 As4'
_cell_length_a 3.9610
_cell_length_b 3.9610
_cell_length_c 11.6527
_cell_angle_alpha 90.00
_cell_angle_beta 90.00
_cell_angle_gamma 90.00
_space_group_name_H-M_alt 'I 4/m m m'
_space_group_IT_number 139
_space_group_name_Hall '-I 4 2'
loop_
_atom_site_label
_atom_site_type_symbol
_atom_site_fract_x
_atom_site_fract_y
_atom_site_fract_z
Sr1 Sr 0.0000 0.0000 0.0000
Co1 Co 0.0000 0.5000 0.2500
As1 As 0.0000 0.0000 0.3551
```



DFT (PBE) results for an optimized crystal structure of SrCoAs2.

Cell and atoms, written as CIF:
```
data_SrCoAs2
_chemical_formula_sum 'Sr4 Co4 As8'
_cell_length_a 6.8643
_cell_length_b 6.8643
_cell_length_c 6.8643
_cell_angle_alpha 90.00
_cell_angle_beta 90.00
_cell_angle_gamma 90.00
_space_group_name_H-M_alt 'F -4 3 m'
_space_group_IT_number 216
_space_group_name_Hall 'F -4 2 3'
loop_
_atom_site_label
_atom_site_type_symbol
_atom_site_fract_x
_atom_site_fract_y
_atom_site_fract_z
Sr1 Sr 0.0000 0.0000 0.0000
Co1 Co 0.2500 0.2500 0.2500
As1 As 0.0000 0.0000 0.5000
As2 As 0.2500 0.2500 0.7500
```



DFT (PBE) results for an optimized crystal structure of TaCoAs2.

Cell and atoms, written as CIF:
```
data_TaCoAs2
_chemical_formula_sum 'Ta4 Co4 As8'
_cell_length_a 6.3002
_cell_length_b 6.3002
_cell_length_c 6.3002
_cell_angle_alpha 90.00
_cell_angle_beta 90.00
_cell_angle_gamma 90.00
_space_group_name_H-M_alt 'F -4 3 m'
_space_group_IT_number 216
_space_group_name_Hall 'F -4 2 3'
loop_
_atom_site_label
_atom_site_type_symbol
_atom_site_fract_x
_atom_site_fract_y
_atom_site_fract_z
Ta1 Ta 0.0000 0.0000 0.0000
Co1 Co 0.2500 0.2500 0.2500
As1 As 0.0000 0.0000 0.5000
As2 As 0.2500 0.2500 0.7500
```



DFT (PBE) results for an optimized crystal structure of Ta4Co2As.

Cell and atoms, written as CIF:
```
data_Ta4Co2As
_chemical_formula_sum 'Ta8 Co4 As2'
_cell_length_a 9.2810
_cell_length_b 6.9177
_cell_length_c 3.7442
_cell_angle_alpha 90.00
_cell_angle_beta 96.14
_cell_angle_gamma 90.00
_space_group_name_H-M_alt 'C 1 2/m 1'
_space_group_IT_number 12
loop_
_space_group_symop_operation_xyz
'x,y,z'
'-x,-y,-z'
'-x,y,-z'
'x,-y,z'
'x+1/2,y+1/2,z'
'-x+1/2,-y+1/2,-z'
'-x+1/2,y+1/2,-z'
'x+1/2,-y+1/2,z'
loop_
_atom_site_label
_atom_site_type_symbol
_atom_site_fract_x
_atom_site_fract_y
_atom_site_fract_z
Ta1 Ta 0.1366 0.2307 0.2333
Co1 Co 0.1071 0.0000 0.7375
As1 As 0.0000 0.5000 0.5000
```



DFT (PBE) results for an optimized crystal structure of TaCoTcAs.

Cell and atoms, written as CIF:
```
data_TaCoTcAs
_chemical_formula_sum 'Ta4 Co4 Tc4 As4'
_cell_length_a 6.1561
_cell_length_b 6.1561
_cell_length_c 6.1561
_cell_angle_alpha 90.00
_cell_angle_beta 90.00
_cell_angle_gamma 90.00
_space_group_name_H-M_alt 'F -4 3 m'
_space_group_IT_number 216
_space_group_name_Hall 'F -4 2 3'
loop_
_atom_site_label
_atom_site_type_symbol
_atom_site_fract_x
_atom_site_fract_y
_atom_site_fract_z
Ta1 Ta 0.0000 0.0000 0.0000
Co1 Co 0.2500 0.2500 0.7500
Tc1 Tc 0.2500 0.2500 0.2500
As1 As 0.0000 0.0000 0.5000
```



DFT (PBE) results for an optimized crystal structure of TaCoTcAs.

Cell and atoms, written as CIF:
```
data_TaCoTcAs
_chemical_formula_sum 'Ta4 Co4 Tc4 As4'
_cell_length_a 6.2037
_cell_length_b 6.2037
_cell_length_c 6.2037
_cell_angle_alpha 90.00
_cell_angle_beta 90.00
_cell_angle_gamma 90.00
_space_group_name_H-M_alt 'F -4 3 m'
_space_group_IT_number 216
_space_group_name_Hall 'F -4 2 3'
loop_
_atom_site_label
_atom_site_type_symbol
_atom_site_fract_x
_atom_site_fract_y
_atom_site_fract_z
Ta1 Ta 0.0000 0.0000 0.0000
Co1 Co 0.0000 0.0000 0.5000
Tc1 Tc 0.2500 0.2500 0.7500
As1 As 0.2500 0.2500 0.2500
```



DFT (PBE) results for an optimized crystal structure of TaCoAsW.

Cell and atoms, written as CIF:
```
data_TaCoAsW
_chemical_formula_sum 'Ta4 Co4 As4 W4'
_cell_length_a 6.2233
_cell_length_b 6.2233
_cell_length_c 6.2233
_cell_angle_alpha 90.00
_cell_angle_beta 90.00
_cell_angle_gamma 90.00
_space_group_name_H-M_alt 'F -4 3 m'
_space_group_IT_number 216
_space_group_name_Hall 'F -4 2 3'
loop_
_atom_site_label
_atom_site_type_symbol
_atom_site_fract_x
_atom_site_fract_y
_atom_site_fract_z
Ta1 Ta 0.0000 0.0000 0.0000
Co1 Co 0.2500 0.2500 0.7500
As1 As 0.0000 0.0000 0.5000
W1 W 0.2500 0.2500 0.2500
```



| no. | total DFT energy (no corrections) (Ry per atom) | volume (Å³ per cell) |
| --- | --- | --- |
| 1 | -0.385 | 281 |
| 2 | -0.446 | 235 |
| 3 | -0.327 | 319 |
| 4 | -0.389 | 216 |
| 5 | -0.282 | 341 |
| 6 | -0.416 | 183 |
| 7 | -0.315 | 323 |
| 8 | -0.496 | 250 |
| 9 | -0.679 | 239 |
| 10 | -0.626 | 233 |
| 11 | -0.607 | 239 |
| 12 | -0.651 | 241 |